This record from Alexandria via LeMat-Bulk describes a geometry-optimized Rb2CdBr structure. The functional is PBE.

Results
The energy is -1.774 eV/atom. Its density of states at the Fermi level is 1.00 states/eV/atom. The calculation puts the uncorrected formation energy at -0.64 eV per atom.

Lattice parameters (Å, degrees): 8.910 8.910 8.910 90.00 90.00 90.00
Atoms (fractional coordinates):
Rb 0.250 0.250 0.250
Rb 0.250 0.250 0.750
Rb 0.250 0.750 0.250
Rb 0.250 0.750 0.750
Rb 0.750 0.250 0.250
Rb 0.750 0.250 0.750
Rb 0.750 0.750 0.250
Rb 0.750 0.750 0.750
Cd 0.000 0.000 0.000
Cd 0.000 0.500 0.500
Cd 0.500 0.000 0.500
Cd 0.500 0.500 0.000
Br 0.000 0.000 0.500
Br 0.000 0.500 0.000
Br 0.500 0.000 0.000
Br 0.500 0.500 0.500